The following is a DFT calculation (PBE) of an optimized crystal structure of Cs2MgTl5.

Structure (CIF):
```
data_Cs2MgTl5
_cell_length_a 5.600
_cell_length_b 5.600
_cell_length_c 18.354
_cell_angle_alpha 90.00
_cell_angle_beta 90.00
_cell_angle_gamma 90.00
_space_group_name_H-M_alt 'I 4/m m m'
_space_group_IT_number 139
_space_group_name_Hall '-I 4 2'
loop_
_atom_site_label
_atom_site_fract_x
_atom_site_fract_y
_atom_site_fract_z
Cs1 0.000 0.000 0.250
Mg1 0.000 0.000 0.000
Tl1 0.000 0.000 0.500
Tl2 0.000 0.500 0.094
```

Values from the calculation:
ΔE_f	-0.0491	eV/atom
electronic total energy	-1.9407	eV/atom
DOS at the Fermi energy	7.38	states/eV/cell